{
  "formula": "NpSc3Cl2O6",
  "functional": "PBE",
  "state": "relaxed",
  "final_energy_ev_per_fu": -99.6,
  "raw_formation_energy_ev_per_atom": -2.8525,
  "lattice": [[-3.260, -1.710, 3.758], [4.151, -4.606, 1.506], [-0.426, 5.299, 3.866]],
  "species": ["O", "O", "O", "O", "O", "O", "Sc", "Sc", "Sc", "Cl", "Cl", "Np"],
  "frac_coords": [[0.283, 0.187, 0.861], [0.717, 0.813, 0.139], [0.664, 0.816, 0.632], [0.336, 0.184, 0.368], [0.283, 0.675, 0.861], [0.717, 0.325, 0.139], [0.500, 0.000, 0.500], [0.000, 0.500, 0.000], [0.500, 0.500, 0.500], [0.178, 0.691, 0.383], [0.822, 0.309, 0.617], [0.500, 0.000, 0.000]]
}

---

{
  "formula": "InHgRh",
  "functional": "PBE",
  "state": "relaxed",
  "final_energy_ev_per_fu": -10.8,
  "relative_energy_mev_per_atom": 0,
  "lattice": [[-4.778, 2.192, 1.325], [-4.774, -3.506, -4.094], [-2.843, -4.630, 4.722]],
  "species": ["Rh", "Rh", "Rh", "Rh", "Hg", "Hg", "Hg", "Hg", "In", "In", "In", "In"],
  "frac_coords": [[0.871, 0.073, 0.823], [0.871, 0.573, 0.322], [0.129, 0.927, 0.177], [0.129, 0.427, 0.678], [0.143, 0.173, 0.423], [0.857, 0.827, 0.577], [0.143, 0.673, 0.923], [0.857, 0.327, 0.077], [0.624, 0.433, 0.683], [0.376, 0.567, 0.317], [0.376, 0.067, 0.817], [0.624, 0.933, 0.183]]
}

---

{
  "formula": "Y3PbBr",
  "functional": "PBE",
  "state": "relaxed",
  "final_energy_ev_per_fu": -25.9,
  "raw_formation_energy_ev_per_atom": -0.2353,
  "relative_energy_mev_per_atom": 0,
  "lattice": [[5.342, 0.000, 0.000], [0.000, 5.342, 0.000], [0.000, 0.000, 5.342]],
  "species": ["Pb", "Br", "Y", "Y", "Y"],
  "frac_coords": [[0.500, 0.500, 0.500], [0.000, 0.000, 0.000], [0.000, 0.000, 0.500], [0.000, 0.500, 0.000], [0.500, 0.000, 0.000]]
}

---

{
  "formula": "TlSe2Br",
  "functional": "PBE",
  "state": "relaxed",
  "final_energy_ev_per_fu": -12.1,
  "raw_formation_energy_ev_per_atom": -0.2758,
  "relative_energy_mev_per_atom": 0,
  "lattice": [[-7.039, -0.300, -1.953], [-5.865, -4.227, -1.088], [-1.245, 0.639, 4.589]],
  "species": ["Se", "Se", "Br", "Tl"],
  "frac_coords": [[0.979, 0.979, 0.863], [0.521, 0.521, 0.637], [0.250, 0.250, 0.250], [0.750, 0.750, 0.750]]
}

---

{
  "formula": "Cs2PbF4",
  "functional": "PBE",
  "state": "relaxed",
  "final_energy_ev_per_fu": -30.9,
  "raw_formation_energy_ev_per_atom": -2.5696,
  "lattice": [[4.890, 0.000, 0.000], [0.000, 4.890, 0.000], [2.445, 2.445, 7.555]],
  "species": ["Cs", "Cs", "F", "F", "F", "F", "Pb"],
  "frac_coords": [[0.647, 0.647, 0.705], [0.353, 0.353, 0.295], [0.000, 0.500, 0.000], [0.837, 0.837, 0.325], [0.500, 0.000, 0.000], [0.163, 0.163, 0.675], [0.000, 0.000, 0.000]]
}

---

{
  "formula": "MnRh4",
  "functional": "PBE",
  "state": "relaxed",
  "final_energy_ev_per_fu": -39.0,
  "relative_energy_mev_per_atom": 0,
  "lattice": [[-5.071, -1.110, 3.079], [1.054, -5.929, -0.402], [-1.022, -3.456, 2.986]],
  "species": ["Rh", "Rh", "Rh", "Rh", "Mn"],
  "frac_coords": [[0.800, 0.602, 0.000], [0.398, 0.800, 0.000], [0.200, 0.398, 0.000], [0.602, 0.200, 0.000], [0.000, 0.000, 0.000]]
}

---

{
  "formula": "NaLaCuS2",
  "functional": "PBE",
  "state": "relaxed",
  "final_energy_ev_per_fu": -17.0,
  "raw_formation_energy_ev_per_atom": 0.3139,
  "lattice": [[-2.495, 1.231, 3.942], [-4.454, -1.146, -2.461], [0.286, -4.543, 1.599]],
  "species": ["La", "S", "S", "Cu", "Na"],
  "frac_coords": [[0.000, 0.500, 0.000], [0.500, 0.000, 0.000], [0.000, 0.000, 0.500], [0.500, 0.500, 0.500], [0.000, 0.000, 0.000]]
}

---

{
  "formula": "CuSiB",
  "functional": "PBE",
  "state": "relaxed",
  "final_energy_ev_per_fu": -14.8,
  "raw_formation_energy_ev_per_atom": 0.4678,
  "lattice": [[6.273, 0.000, 0.000], [0.000, 3.145, 0.000], [0.000, 0.000, 7.713]],
  "species": ["Cu", "Cu", "Cu", "Cu", "Si", "Si", "Si", "Si", "B", "B", "B", "B"],
  "frac_coords": [[0.660, 0.250, 0.009], [0.840, 0.750, 0.509], [0.160, 0.250, 0.491], [0.340, 0.750, 0.991], [0.618, 0.750, 0.767], [0.882, 0.250, 0.267], [0.118, 0.750, 0.733], [0.382, 0.250, 0.233], [0.000, 0.000, 0.000], [0.500, 0.000, 0.500], [0.500, 0.500, 0.500], [0.000, 0.500, 0.000]]
}

---

{
  "formula": "K2TcRu",
  "functional": "PBE",
  "state": "relaxed",
  "final_energy_ev_per_fu": -14.8,
  "relative_energy_mev_per_atom": 1044,
  "lattice": [[6.486, 0.000, 0.000], [0.000, 6.486, 0.000], [0.000, 0.000, 2.579]],
  "species": ["K", "K", "Ru", "Tc"],
  "frac_coords": [[0.500, 0.500, 0.000], [0.000, 0.000, 0.000], [0.500, 0.000, 0.500], [0.000, 0.500, 0.500]]
}

---

{
  "formula": "KScMo2",
  "functional": "PBE",
  "state": "relaxed",
  "final_energy_ev_per_fu": -22.3,
  "relative_energy_mev_per_atom": 1216,
  "lattice": [[-2.283, -1.088, 4.256], [-3.401, 3.088, 1.844], [-4.780, -1.288, -0.014]],
  "species": ["Mo", "Mo", "K", "Sc"],
  "frac_coords": [[0.250, 0.250, 0.250], [0.750, 0.750, 0.750], [0.000, 0.000, 0.000], [0.500, 0.500, 0.500]]
}

---

{
  "formula": "K3Fe",
  "functional": "PBE",
  "state": "relaxed",
  "final_energy_ev_per_fu": -8.7,
  "relative_energy_mev_per_atom": 6,
  "lattice": [[7.451, 0.000, 0.000], [0.000, 9.712, 0.000], [0.000, 0.000, 11.208]],
  "species": ["K", "K", "K", "K", "K", "K", "K", "K", "K", "K", "K", "K", "Fe", "Fe", "Fe", "Fe"],
  "frac_coords": [[0.641, 0.172, 0.561], [0.641, 0.172, 0.939], [0.388, 0.531, 0.750], [0.859, 0.672, 0.561], [0.888, 0.969, 0.250], [0.859, 0.672, 0.939], [0.141, 0.328, 0.061], [0.359, 0.828, 0.439], [0.359, 0.828, 0.061], [0.141, 0.328, 0.439], [0.612, 0.469, 0.250], [0.112, 0.031, 0.750], [0.566, 0.878, 0.750], [0.434, 0.122, 0.250], [0.934, 0.378, 0.750], [0.066, 0.622, 0.250]]
}

---

{
  "formula": "KSrBe2",
  "functional": "PBE",
  "state": "relaxed",
  "final_energy_ev_per_fu": -7.3,
  "relative_energy_mev_per_atom": 235,
  "lattice": [[4.150, 0.000, 0.000], [0.000, 4.205, -0.001], [0.000, 3.928, 7.677]],
  "species": ["Be", "Be", "Sr", "K"],
  "frac_coords": [[0.000, 0.380, 0.612], [0.000, 0.120, 0.888], [0.500, 0.750, 0.750], [0.500, 0.250, 0.250]]
}

---

{
  "formula": "BeCr3Re",
  "functional": "PBE",
  "state": "relaxed",
  "final_energy_ev_per_fu": -36.6,
  "relative_energy_mev_per_atom": 909,
  "lattice": [[-1.988, 3.391, 2.421], [-4.162, -1.492, -1.327], [-0.193, -2.754, 3.700]],
  "species": ["Cr", "Cr", "Cr", "Be", "Re"],
  "frac_coords": [[0.500, 0.000, 0.000], [0.000, 0.000, 0.500], [0.000, 0.500, 0.000], [0.500, 0.500, 0.500], [0.000, 0.000, 0.000]]
}

---

{
  "formula": "ZnCoIr2",
  "functional": "PBE",
  "state": "relaxed",
  "final_energy_ev_per_fu": -26.1,
  "lattice": [[-0.949, -1.605, -1.967], [1.961, -3.738, 2.103], [-2.267, -3.099, 3.623]],
  "species": ["Co", "Ir", "Ir", "Zn"],
  "frac_coords": [[0.000, 0.000, 0.500], [0.000, 0.000, 0.000], [0.500, 0.500, 0.000], [0.500, 0.500, 0.500]]
}

---

{
  "formula": "Zn6Hg4F19",
  "functional": "PBE",
  "state": "relaxed",
  "final_energy_ev_per_fu": -99.4,
  "raw_formation_energy_ev_per_atom": -1.8953,
  "lattice": [[7.695, 0.000, -2.721], [-3.848, 6.664, -2.721], [0.000, 0.000, 8.162]],
  "species": ["F", "F", "F", "F", "F", "F", "F", "F", "F", "F", "F", "F", "F", "F", "F", "F", "F", "F", "F", "Zn", "Zn", "Zn", "Zn", "Zn", "Zn", "Hg", "Hg", "Hg", "Hg"],
  "frac_coords": [[0.320, 0.609, 0.356], [0.649, 0.000, 0.649], [0.252, 0.963, 0.644], [0.289, 0.680, 0.037], [0.356, 0.320, 0.609], [0.351, 0.351, 0.000], [0.000, 0.649, 0.649], [0.609, 0.356, 0.320], [0.963, 0.644, 0.252], [0.391, 0.711, 0.748], [0.000, 0.000, 0.000], [0.711, 0.748, 0.391], [0.748, 0.391, 0.711], [0.644, 0.252, 0.963], [0.680, 0.037, 0.289], [0.037, 0.289, 0.680], [0.649, 0.649, 0.000], [0.351, 0.000, 0.351], [0.000, 0.351, 0.351], [0.500, 0.165, 0.665], [0.335, 0.500, 0.835], [0.835, 0.335, 0.500], [0.165, 0.665, 0.500], [0.665, 0.500, 0.165], [0.500, 0.835, 0.335], [0.296, 0.296, 0.296], [0.704, 0.000, 0.000], [0.000, 0.000, 0.704], [0.000, 0.704, 0.000]]
}

---

{
  "formula": "Ta2AsAu",
  "functional": "PBE",
  "state": "relaxed",
  "final_energy_ev_per_fu": -31.6,
  "relative_energy_mev_per_atom": 90,
  "lattice": [[-0.991, -2.367, 1.333], [2.260, 0.069, 1.803], [-4.649, 5.118, 5.631]],
  "species": ["Au", "Ta", "Ta", "As"],
  "frac_coords": [[0.500, 0.500, 0.770], [0.500, 0.500, 0.253], [0.000, 0.000, 0.000], [0.000, 0.000, 0.477]]
}

---

{
  "formula": "AcMg2CdAu4",
  "functional": "PBE",
  "state": "relaxed",
  "final_energy_ev_per_fu": -25.9,
  "lattice": [[4.686, 0.000, 0.000], [2.343, 4.058, 0.000], [2.343, 1.353, 9.455]],
  "species": ["Au", "Au", "Au", "Au", "Cd", "Mg", "Mg", "Ac"],
  "frac_coords": [[0.602, 0.602, 0.194], [0.123, 0.123, 0.632], [0.398, 0.398, 0.806], [0.877, 0.877, 0.368], [0.500, 0.500, 0.500], [0.233, 0.233, 0.302], [0.767, 0.767, 0.698], [0.000, 0.000, 0.000]]
}

---

{
  "formula": "La2HoZn2",
  "functional": "PBE",
  "state": "relaxed",
  "final_energy_ev_per_fu": -18.1,
  "lattice": [[-0.081, -0.055, 3.612], [-0.295, -3.652, -0.062], [9.856, -2.637, 0.181]],
  "species": ["La", "La", "Ho", "Zn", "Zn"],
  "frac_coords": [[0.000, 0.180, 0.641], [0.000, 0.820, 0.359], [0.000, 0.000, 0.000], [0.500, 0.419, 0.161], [0.500, 0.581, 0.839]]
}

---

{
  "formula": "CuTcRh",
  "functional": "PBE",
  "state": "relaxed",
  "final_energy_ev_per_fu": -20.3,
  "relative_energy_mev_per_atom": 559,
  "lattice": [[4.094, 0.000, 0.000], [2.047, 3.545, 0.000], [2.047, 1.182, 3.343]],
  "species": ["Cu", "Rh", "Tc"],
  "frac_coords": [[0.500, 0.500, 0.500], [0.750, 0.750, 0.750], [0.000, 0.000, 0.000]]
}

---

{
  "formula": "SrTe2HN",
  "functional": "PBE",
  "state": "relaxed",
  "final_energy_ev_per_fu": -17.3,
  "relative_energy_mev_per_atom": 0,
  "lattice": [[4.357, 0.000, 0.000], [0.000, 4.357, 0.000], [0.000, 0.000, 5.954]],
  "species": ["Sr", "H", "Te", "Te", "N"],
  "frac_coords": [[0.500, 0.500, 0.500], [0.000, 0.000, 0.000], [0.500, 0.000, 0.000], [0.000, 0.500, 0.000], [0.000, 0.000, 0.500]]
}

---

{
  "formula": "In6BiPb3",
  "functional": "PBE",
  "state": "relaxed",
  "final_energy_ev_per_fu": -31.0,
  "lattice": [[5.120, 0.000, 0.000], [0.000, 10.287, -3.154], [0.000, 0.302, 11.615]],
  "species": ["In", "In", "In", "In", "In", "In", "In", "In", "In", "In", "In", "In", "Bi", "Bi", "Pb", "Pb", "Pb", "Pb", "Pb", "Pb"],
  "frac_coords": [[0.750, 0.081, 0.209], [0.250, 0.027, 0.398], [0.250, 0.393, 0.958], [0.250, 0.484, 0.617], [0.750, 0.864, 0.938], [0.750, 0.973, 0.602], [0.750, 0.607, 0.042], [0.750, 0.516, 0.383], [0.250, 0.919, 0.791], [0.750, 0.232, 0.493], [0.250, 0.136, 0.062], [0.250, 0.768, 0.507], [0.250, 0.317, 0.340], [0.750, 0.683, 0.660], [0.750, 0.816, 0.313], [0.250, 0.184, 0.687], [0.750, 0.422, 0.773], [0.250, 0.841, 0.112], [0.750, 0.159, 0.888], [0.250, 0.578, 0.227]]
}

---

{
  "formula": "LiNbCr2Cu",
  "functional": "PBE",
  "state": "relaxed",
  "final_energy_ev_per_fu": -28.5,
  "lattice": [[-1.773, -2.163, 2.821], [3.814, -1.695, 1.098], [0.558, 2.944, 2.608]],
  "species": ["Cr", "Cr", "Cu", "Nb", "Li"],
  "frac_coords": [[0.000, 0.000, 0.500], [0.500, 0.000, 0.000], [0.500, 0.500, 0.500], [0.000, 0.500, 0.000], [0.000, 0.000, 0.000]]
}

---

{
  "formula": "CeHfZn17",
  "functional": "PBE",
  "state": "relaxed",
  "final_energy_ev_per_fu": -40.2,
  "lattice": [[-5.316, 3.884, -1.486], [-3.001, -0.319, 6.037], [2.451, 5.781, 2.475]],
  "species": ["Zn", "Zn", "Zn", "Zn", "Zn", "Zn", "Zn", "Zn", "Zn", "Zn", "Zn", "Zn", "Zn", "Zn", "Zn", "Zn", "Zn", "Hf", "Ce"],
  "frac_coords": [[0.349, 0.855, 0.349], [0.905, 0.905, 0.905], [0.509, 0.990, 0.990], [0.638, 0.177, 0.638], [0.990, 0.990, 0.509], [0.699, 0.296, 0.004], [0.177, 0.638, 0.638], [0.296, 0.699, 0.004], [0.990, 0.509, 0.990], [0.296, 0.004, 0.699], [0.106, 0.106, 0.106], [0.349, 0.349, 0.855], [0.855, 0.349, 0.349], [0.638, 0.638, 0.177], [0.004, 0.296, 0.699], [0.004, 0.699, 0.296], [0.699, 0.004, 0.296], [0.331, 0.331, 0.331], [0.664, 0.664, 0.664]]
}

---

| no. | magnetic moment (μB per cell) |
| --- | --- |
| 1 | 2.0 |
| 2 | 0.0 |
| 3 | 0.0 |
| 4 | 0.0 |
| 5 | 0.0 |
| 6 | 3.0 |
| 7 | 0.0 |
| 8 | 0.0 |
| 9 | 3.4 |
| 10 | 4.0 |
| 11 | 12.5 |
| 12 | 0.0 |
| 13 | 7.7 |
| 14 | 1.6 |
| 15 | 0.0 |
| 16 | 0.0 |
| 17 | 0.0 |
| 18 | 0.0 |
| 19 | 0.0 |
| 20 | 1.8 |
| 21 | 0.0 |
| 22 | 0.0 |
| 23 | 1.0 |